Entry from the Alexandria database: a relaxed structure of LaTm (PBE-GGA).

Results
- E above lowest polymorph: 0.0 meV per atom
- Formation energy from the elements: 0.0240 eV per atom
- Symmetry: Fd-3m
- Volume: 33.11 Å³ per atom
- Density of states at the Fermi level: 3.063 states/eV/f.u.

a = 7.2084 Å, b = 7.2084 Å, c = 7.2084 Å
α = 60.00°, β = 60.00°, γ = 60.00°
Last column: nearest neighbours and their distance in Å.
Sites, in units of the cell vectors:
La 0.0000 0.0000 0.0000  6 La 3.60, 6 Tm 3.60
La 0.0000 0.0000 0.5000  6 La 3.60, 6 Tm 3.60
La 0.0000 0.5000 0.0000  6 La 3.60, 6 Tm 3.60
La 0.5000 0.0000 0.0000  6 La 3.60, 6 Tm 3.60
Tm 0.0000 0.5000 0.5000  6 La 3.60, 6 Tm 3.60
Tm 0.5000 0.0000 0.5000  6 La 3.60, 6 Tm 3.60
Tm 0.5000 0.5000 0.0000  6 La 3.60, 6 Tm 3.60
Tm 0.5000 0.5000 0.5000  6 La 3.60, 6 Tm 3.60